1.
Material: Mn2CoSbW
Method: DFT, PBE
State: optimized geometry

## Properties
- DFT total energy: -7.24 eV per atom
- Total magnetic moment: 5.8 μB/cell
- Uncorrected formation energy: 1.2624 eV per atom
- Calculated volume: 98.2 Å³/f.u.

Lattice parameters (Å, degrees): 4.657 4.657 4.527 90.00 90.00 90.00
Element x y z (fractional)
Mn 0.000 0.500 0.000
Mn 0.500 0.000 0.000
Co 0.000 0.000 0.500
Sb 0.500 0.500 0.500
W 0.000 0.000 0.000

---

2.
Material: ScMnCo2
Method: DFT, PBE
State: optimized geometry

## Properties
- DFT total energy: -7.50 eV per atom
- Total magnetic moment: 5.8 μB/cell
- DFT formation energy: -0.075 eV per atom
- Calculated volume: 55.3 Å³/f.u.

Lattice parameters (Å, degrees): 5.032 5.032 5.032 144.33 131.24 61.86
Element x y z (fractional)
Sc 0.000 0.000 0.000
Mn 0.728 0.228 0.500
Co 0.258 0.758 0.500
Co 0.485 0.485 0.000